No. 1
VASP calculation (PBE) on crystalline HfZrCCl2 at its relaxed geometry.

Cell: 3.4242 3.4242 9.3083 Å, 90.00 90.00 120.00°
Fractional coordinates of all 5 atoms:
Hf 0.0000 0.0000 0.0000
Zr 0.6667 0.3333 0.2546
C 0.3333 0.6667 0.1204
Cl 0.0000 0.0000 0.4493
Cl 0.6667 0.3333 0.8101

Results
The value obtained for the energy is -7.753 eV/atom. For the total magnetic moment, the calculation gives 0.003 μB per formula unit.

No. 2
VASP calculation (PBE) on crystalline Hg2CN2Cl2 at its relaxed geometry.

Cell: 9.9361 3.8272 6.6498 Å, 90.00 93.70 90.00°
Fractional coordinates of all 14 atoms:
Hg 0.1852 0.0000 0.2621
Hg 0.3148 0.5000 0.7379
Hg 0.6852 0.5000 0.2621
Hg 0.8148 0.0000 0.7379
C 0.0000 0.5000 0.5000
C 0.5000 0.0000 0.5000
N 0.1144 0.5000 0.4363
N 0.3856 0.0000 0.5637
N 0.6144 0.0000 0.4363
N 0.8856 0.5000 0.5637
Cl 0.1311 0.0000 0.8623
Cl 0.3689 0.5000 0.1377
Cl 0.6311 0.5000 0.8623
Cl 0.8689 0.0000 0.1377

Results
The value obtained for the energy is -4.208 eV/atom. As for the excess energy over the best structure of this formula in the dataset: 8.6 kJ/mol of atoms.

No. 3
VASP calculation (PBE) on crystalline Hg2CN2Cl2 at its relaxed geometry.

Cell: 8.2106 9.1291 7.9271 Å, 90.00 106.09 90.00°
Fractional coordinates of all 28 atoms:
Hg 0.0000 0.0000 0.0000
Hg 0.0000 0.0000 0.5000
Hg 0.0000 0.5000 0.0000
Hg 0.0000 0.5000 0.5000
Hg 0.3905 0.1807 0.2679
Hg 0.3905 0.3193 0.7679
Hg 0.6095 0.6807 0.2321
Hg 0.6095 0.8193 0.7321
C 0.3648 0.5893 0.5763
C 0.3648 0.9107 0.0763
C 0.6352 0.0893 0.9237
C 0.6352 0.4107 0.4237
N 0.2672 0.0095 0.1002
N 0.2672 0.4905 0.6002
N 0.4648 0.6754 0.5451
N 0.4648 0.8246 0.0451
N 0.5352 0.1754 0.9549
N 0.5352 0.3246 0.4549
N 0.7328 0.5095 0.3998
N 0.7328 0.9905 0.8998
Cl 0.0097 0.2471 0.2469
Cl 0.0097 0.2529 0.7469
Cl 0.3030 0.0214 0.5761
Cl 0.3030 0.4786 0.0761
Cl 0.6970 0.5214 0.9239
Cl 0.6970 0.9786 0.4239
Cl 0.9903 0.7471 0.2531
Cl 0.9903 0.7529 0.7531

Results
The value obtained for the energy is -4.298 eV/atom. As for the excess energy over the best structure of this formula in the dataset: 0.0 kJ/mol of atoms.